Compound: Cr6PbO18
Source: Alexandria
Functional: PBE with a Hubbard U
Structure: optimized geometry

The total magnetic moment is 4.000 μB/f.u. The theoretical density comes out at 4.6 g/cm3. The value obtained for the total energy is -6.414 eV per atom.

a b c (Å): 6.3812 6.3812 8.1224
angles (deg): 75.42 75.42 67.80
Fractional positions:
Pb (0.0000, 0.0000, 0.5000)
O (0.8700, 0.2847, 0.6636)
O (0.7153, 0.1300, 0.3364)
O (0.6599, 0.3401, 0.0000)
O (0.7115, 0.7115, 0.4793)
Cr (0.8259, 0.3458, 0.1502)
O (0.9356, 0.9356, 0.9085)
O (0.0000, 0.5000, 0.0000)
Cr (0.5000, 0.0000, 0.5000)
O (0.1300, 0.7153, 0.3364)
O (0.2847, 0.8700, 0.6636)
O (0.0644, 0.0644, 0.0915)
O (0.6586, 0.0101, 0.6694)
O (0.9899, 0.3414, 0.3306)
O (0.3414, 0.9899, 0.3306)
Cr (0.0000, 0.5000, 0.5000)
Cr (0.1741, 0.6542, 0.8498)
O (0.5971, 0.5971, 0.2268)
O (0.0101, 0.6586, 0.6694)
O (0.2885, 0.2885, 0.5207)
O (0.4029, 0.4029, 0.7732)
O (0.5000, 0.0000, 0.0000)
O (0.3401, 0.6599, 0.0000)
Cr (0.3458, 0.8259, 0.1502)
Cr (0.6542, 0.1741, 0.8498)